DFT (GGA-PBE) results for a relaxed ThSnPd crystal.

abc: 6.2979 6.2979 6.2979
angles: 147.92 147.92 46.00
Atoms (fractional coordinates):
Th 0.0000 0.0000 0.0000
Sn 0.2959 0.2959 0.0000
Pd 0.6665 0.6665 0.0000

Results
**ρ**: 10.81 Mg/m³
**Space group**: I4mm (107)
**Formation enthalpy at 0 K**: -0.578 eV/atom
**Crystal system**: tetragonal